[1]
Below is an optimized crystal structure of BaSb2Rh, with properties calculated at the PBE-GGA level. Values from VASP.

Quantum ESPRESSO input file:
```
&SYSTEM
  ibrav = 0, nat = 4, ntyp = 3
/
ATOMIC_SPECIES
Ba 137.33 Ba.upf
Sb 121.76 Sb.upf
Rh 102.91 Rh.upf
CELL_PARAMETERS angstrom
5.188 0.000 0.000
0.000 4.419 0.000
-1.338 0.000 5.567
ATOMIC_POSITIONS crystal
Ba 0.000 0.000 0.000
Sb 0.380 0.500 0.650
Sb 0.607 0.000 0.392
Rh 0.869 0.500 0.537
```

VASP energy   -4.85 eV per atom
Raw formation energy   -0.47 eV per atom

[2]
Below is an optimized crystal structure of Ba2Sb4Rh3, with properties calculated at the PBE-GGA level. Values from VASP.

Quantum ESPRESSO input file:
```
&SYSTEM
  ibrav = 0, nat = 9, ntyp = 3
/
ATOMIC_SPECIES
Ba 137.33 Ba.upf
Sb 121.76 Sb.upf
Rh 102.91 Rh.upf
CELL_PARAMETERS angstrom
0.000 5.476 6.930
3.102 0.000 6.930
3.102 5.476 0.000
ATOMIC_POSITIONS crystal
Ba 0.134 0.134 0.866
Ba 0.866 0.866 0.134
Sb 0.193 0.523 0.477
Sb 0.477 0.807 0.193
Sb 0.523 0.193 0.807
Sb 0.807 0.477 0.523
Rh 0.000 0.000 0.500
Rh 0.500 0.500 0.000
Rh 0.500 0.500 0.500
```

VASP energy   -5.32 eV per atom
Raw formation energy   -0.61 eV per atom

[3]
Below is an optimized crystal structure of BaSbRh3, with properties calculated at the PBE-GGA level. Values from VASP.

Quantum ESPRESSO input file:
```
&SYSTEM
  ibrav = 0, nat = 5, ntyp = 3
/
ATOMIC_SPECIES
Ba 137.33 Ba.upf
Sb 121.76 Sb.upf
Rh 102.91 Rh.upf
CELL_PARAMETERS angstrom
4.962 0.000 0.000
0.000 4.962 0.000
0.000 0.000 4.962
ATOMIC_POSITIONS crystal
Ba 0.000 0.000 0.000
Sb 0.500 0.500 0.500
Rh 0.000 0.500 0.500
Rh 0.500 0.000 0.500
Rh 0.500 0.500 0.000
```

VASP energy   -5.55 eV per atom
Raw formation energy   0.07 eV per atom

[4]
Below is an optimized crystal structure of Ba3Sb4Rh4, with properties calculated at the PBE-GGA level. Values from VASP.

Quantum ESPRESSO input file:
```
&SYSTEM
  ibrav = 0, nat = 11, ntyp = 3
/
ATOMIC_SPECIES
Ba 137.33 Ba.upf
Sb 121.76 Sb.upf
Rh 102.91 Rh.upf
CELL_PARAMETERS angstrom
-4.166 4.166 4.166
4.166 -4.166 4.166
4.166 4.166 -4.166
ATOMIC_POSITIONS crystal
Ba 0.000 0.500 0.500
Ba 0.500 0.000 0.500
Ba 0.500 0.500 0.000
Sb 0.000 0.000 0.634
Sb 0.000 0.634 0.000
Sb 0.366 0.366 0.366
Sb 0.634 0.000 0.000
Rh 0.000 0.000 0.271
Rh 0.000 0.271 0.000
Rh 0.271 0.000 0.000
Rh 0.729 0.729 0.729
```

VASP energy   -5.38 eV per atom
Raw formation energy   -0.68 eV per atom

[5]
Below is an optimized crystal structure of BaSb2Rh2, with properties calculated at the PBE-GGA level. Values from VASP.

Quantum ESPRESSO input file:
```
&SYSTEM
  ibrav = 0, nat = 10, ntyp = 3
/
ATOMIC_SPECIES
Ba 137.33 Ba.upf
Sb 121.76 Sb.upf
Rh 102.91 Rh.upf
CELL_PARAMETERS angstrom
8.476 0.000 0.000
0.000 8.476 0.000
0.000 0.000 3.304
ATOMIC_POSITIONS crystal
Ba 0.000 0.000 0.000
Ba 0.500 0.500 0.000
Sb 0.134 0.366 0.000
Sb 0.366 0.866 0.000
Sb 0.634 0.134 0.000
Sb 0.866 0.634 0.000
Rh 0.124 0.624 0.500
Rh 0.376 0.124 0.500
Rh 0.624 0.876 0.500
Rh 0.876 0.376 0.500
```

VASP energy   -5.23 eV per atom
Raw formation energy   -0.26 eV per atom

[6]
Below is an optimized crystal structure of BaSb2Rh, with properties calculated at the PBE-GGA level. Values from VASP.

Quantum ESPRESSO input file:
```
&SYSTEM
  ibrav = 0, nat = 4, ntyp = 3
/
ATOMIC_SPECIES
Ba 137.33 Ba.upf
Sb 121.76 Sb.upf
Rh 102.91 Rh.upf
CELL_PARAMETERS angstrom
-2.386 2.386 4.692
2.386 -2.386 4.692
2.386 2.386 -4.692
ATOMIC_POSITIONS crystal
Ba 0.000 0.000 0.000
Sb 0.500 0.500 0.000
Sb 0.750 0.250 0.500
Rh 0.250 0.750 0.500
```

VASP energy   -4.41 eV per atom
Raw formation energy   -0.03 eV per atom

[7]
Below is an optimized crystal structure of BaSb3Rh, with properties calculated at the PBE-GGA level. Values from VASP.

Quantum ESPRESSO input file:
```
&SYSTEM
  ibrav = 0, nat = 5, ntyp = 3
/
ATOMIC_SPECIES
Ba 137.33 Ba.upf
Sb 121.76 Sb.upf
Rh 102.91 Rh.upf
CELL_PARAMETERS angstrom
5.326 0.000 0.000
0.000 5.326 0.000
0.000 0.000 5.326
ATOMIC_POSITIONS crystal
Ba 0.000 0.000 0.000
Sb 0.000 0.500 0.500
Sb 0.500 0.000 0.500
Sb 0.500 0.500 0.000
Rh 0.500 0.500 0.500
```

VASP energy   -4.59 eV per atom
Raw formation energy   -0.26 eV per atom

[8]
Below is an optimized crystal structure of BaSbRh2, with properties calculated at the PBE-GGA level. Values from VASP.

Quantum ESPRESSO input file:
```
&SYSTEM
  ibrav = 0, nat = 4, ntyp = 3
/
ATOMIC_SPECIES
Ba 137.33 Ba.upf
Sb 121.76 Sb.upf
Rh 102.91 Rh.upf
CELL_PARAMETERS angstrom
2.237 1.292 5.929
-2.237 1.292 5.929
0.000 -2.584 5.929
ATOMIC_POSITIONS crystal
Ba 0.000 0.000 0.000
Sb 0.195 0.195 0.195
Rh 0.471 0.471 0.471
Rh 0.801 0.801 0.801
```

VASP energy   -5.65 eV per atom
Raw formation energy   -0.46 eV per atom

[9]
Below is an optimized crystal structure of BaSb2Rh2, with properties calculated at the PBE-GGA level. Values from VASP.

Quantum ESPRESSO input file:
```
&SYSTEM
  ibrav = 0, nat = 10, ntyp = 3
/
ATOMIC_SPECIES
Ba 137.33 Ba.upf
Sb 121.76 Sb.upf
Rh 102.91 Rh.upf
CELL_PARAMETERS angstrom
8.238 0.000 0.000
0.000 8.238 0.000
0.000 0.000 3.408
ATOMIC_POSITIONS crystal
Ba 0.000 0.000 0.000
Ba 0.500 0.500 0.000
Sb 0.143 0.357 0.500
Sb 0.357 0.857 0.500
Sb 0.643 0.143 0.500
Sb 0.857 0.643 0.500
Rh 0.122 0.622 0.000
Rh 0.378 0.122 0.000
Rh 0.622 0.878 0.000
Rh 0.878 0.378 0.000
```

VASP energy   -5.31 eV per atom
Raw formation energy   -0.34 eV per atom

[10]
Below is an optimized crystal structure of Ba2Sb7Rh12, with properties calculated at the PBE-GGA level. Values from VASP.

Quantum ESPRESSO input file:
```
&SYSTEM
  ibrav = 0, nat = 21, ntyp = 3
/
ATOMIC_SPECIES
Ba 137.33 Ba.upf
Sb 121.76 Sb.upf
Rh 102.91 Rh.upf
CELL_PARAMETERS angstrom
10.594 0.000 0.000
-5.297 9.174 0.000
0.000 0.000 4.192
ATOMIC_POSITIONS crystal
Ba 0.000 0.000 0.000
Ba 0.333 0.667 0.500
Sb 0.054 0.445 0.000
Sb 0.269 0.236 0.500
Sb 0.390 0.946 0.000
Sb 0.555 0.610 0.000
Sb 0.667 0.333 0.000
Sb 0.764 0.033 0.500
Sb 0.967 0.731 0.500
Rh 0.039 0.277 0.500
Rh 0.116 0.723 0.000
Rh 0.239 0.961 0.500
Rh 0.277 0.392 0.000
Rh 0.390 0.189 0.000
Rh 0.547 0.433 0.500
Rh 0.567 0.114 0.500
Rh 0.608 0.884 0.000
Rh 0.723 0.761 0.500
Rh 0.798 0.610 0.000
Rh 0.811 0.202 0.000
Rh 0.886 0.453 0.500
```

VASP energy   -6.26 eV per atom
Raw formation energy   -0.50 eV per atom

[11]
Below is an optimized crystal structure of BaSb2Rh, with properties calculated at the PBE-GGA level. Values from VASP.

Quantum ESPRESSO input file:
```
&SYSTEM
  ibrav = 0, nat = 4, ntyp = 3
/
ATOMIC_SPECIES
Ba 137.33 Ba.upf
Sb 121.76 Sb.upf
Rh 102.91 Rh.upf
CELL_PARAMETERS angstrom
0.000 3.746 3.746
3.746 0.000 3.746
3.746 3.746 0.000
ATOMIC_POSITIONS crystal
Ba 0.000 0.000 0.000
Sb 0.250 0.250 0.250
Sb 0.750 0.750 0.750
Rh 0.500 0.500 0.500
```

VASP energy   -4.46 eV per atom
Raw formation energy   -0.08 eV per atom

[12]
Below is an optimized crystal structure of BaSbRh2, with properties calculated at the PBE-GGA level. Values from VASP.

Quantum ESPRESSO input file:
```
&SYSTEM
  ibrav = 0, nat = 4, ntyp = 3
/
ATOMIC_SPECIES
Ba 137.33 Ba.upf
Sb 121.76 Sb.upf
Rh 102.91 Rh.upf
CELL_PARAMETERS angstrom
2.275 1.313 5.640
-2.275 1.313 5.640
0.000 -2.626 5.640
ATOMIC_POSITIONS crystal
Ba 0.000 0.000 0.000
Sb 0.500 0.500 0.500
Rh 0.195 0.195 0.195
Rh 0.805 0.805 0.805
```

VASP energy   -5.73 eV per atom
Raw formation energy   -0.54 eV per atom

[13]
Below is an optimized crystal structure of BaSb2Rh, with properties calculated at the PBE-GGA level. Values from VASP.

Quantum ESPRESSO input file:
```
&SYSTEM
  ibrav = 0, nat = 4, ntyp = 3
/
ATOMIC_SPECIES
Ba 137.33 Ba.upf
Sb 121.76 Sb.upf
Rh 102.91 Rh.upf
CELL_PARAMETERS angstrom
4.633 0.000 0.000
0.000 4.633 0.000
0.000 0.000 4.965
ATOMIC_POSITIONS crystal
Ba 0.000 0.000 0.000
Sb 0.000 0.500 0.500
Sb 0.500 0.000 0.500
Rh 0.500 0.500 0.000
```

VASP energy   -4.46 eV per atom
Raw formation energy   -0.09 eV per atom

[14]
Below is an optimized crystal structure of Ba3Sb3Rh2, with properties calculated at the PBE-GGA level. Values from VASP.

Quantum ESPRESSO input file:
```
&SYSTEM
  ibrav = 0, nat = 16, ntyp = 3
/
ATOMIC_SPECIES
Ba 137.33 Ba.upf
Sb 121.76 Sb.upf
Rh 102.91 Rh.upf
CELL_PARAMETERS angstrom
2.332 -6.391 0.000
2.332 6.391 0.000
0.000 0.000 16.471
ATOMIC_POSITIONS crystal
Ba 0.069 0.931 0.604
Ba 0.069 0.931 0.896
Ba 0.361 0.639 0.750
Ba 0.639 0.361 0.250
Ba 0.931 0.069 0.104
Ba 0.931 0.069 0.396
Sb 0.335 0.665 0.250
Sb 0.338 0.662 0.540
Sb 0.338 0.662 0.960
Sb 0.662 0.338 0.040
Sb 0.662 0.338 0.460
Sb 0.665 0.335 0.750
Rh 0.228 0.772 0.101
Rh 0.228 0.772 0.399
Rh 0.772 0.228 0.601
Rh 0.772 0.228 0.899
```

VASP energy   -4.87 eV per atom
Raw formation energy   -0.76 eV per atom

[15]
Below is an optimized crystal structure of BaSb2Rh, with properties calculated at the PBE-GGA level. Values from VASP.

Quantum ESPRESSO input file:
```
&SYSTEM
  ibrav = 0, nat = 4, ntyp = 3
/
ATOMIC_SPECIES
Ba 137.33 Ba.upf
Sb 121.76 Sb.upf
Rh 102.91 Rh.upf
CELL_PARAMETERS angstrom
-1.820 1.997 7.760
1.820 -1.997 7.760
1.820 1.997 -7.760
ATOMIC_POSITIONS crystal
Ba 0.000 0.000 0.000
Sb 0.318 0.818 0.500
Sb 0.641 0.641 0.000
Rh 0.764 0.264 0.500
```

VASP energy   -4.77 eV per atom
Raw formation energy   -0.39 eV per atom

[16]
Below is an optimized crystal structure of BaSb2Rh, with properties calculated at the PBE-GGA level. Values from VASP.

Quantum ESPRESSO input file:
```
&SYSTEM
  ibrav = 0, nat = 4, ntyp = 3
/
ATOMIC_SPECIES
Ba 137.33 Ba.upf
Sb 121.76 Sb.upf
Rh 102.91 Rh.upf
CELL_PARAMETERS angstrom
0.000 3.773 3.773
3.773 0.000 3.773
3.773 3.773 0.000
ATOMIC_POSITIONS crystal
Ba 0.000 0.000 0.000
Sb 0.500 0.500 0.500
Sb 0.750 0.750 0.750
Rh 0.250 0.250 0.250
```

VASP energy   -4.37 eV per atom
Raw formation energy   0.01 eV per atom

[17]
Below is an optimized crystal structure of BaSbRh2, with properties calculated at the PBE-GGA level. Values from VASP.

Quantum ESPRESSO input file:
```
&SYSTEM
  ibrav = 0, nat = 8, ntyp = 3
/
ATOMIC_SPECIES
Ba 137.33 Ba.upf
Sb 121.76 Sb.upf
Rh 102.91 Rh.upf
CELL_PARAMETERS angstrom
-3.866 3.866 3.493
3.866 -3.866 3.493
3.866 3.866 -3.493
ATOMIC_POSITIONS crystal
Ba 0.000 0.000 0.000
Ba 0.750 0.250 0.500
Sb 0.250 0.750 0.500
Sb 0.500 0.500 0.000
Rh 0.199 0.125 0.574
Rh 0.375 0.801 0.926
Rh 0.551 0.625 0.426
Rh 0.875 0.449 0.074
```

VASP energy   -5.26 eV per atom
Raw formation energy   -0.07 eV per atom

[18]
Below is an optimized crystal structure of BaSbRh2, with properties calculated at the PBE-GGA level. Values from VASP.

Quantum ESPRESSO input file:
```
&SYSTEM
  ibrav = 0, nat = 4, ntyp = 3
/
ATOMIC_SPECIES
Ba 137.33 Ba.upf
Sb 121.76 Sb.upf
Rh 102.91 Rh.upf
CELL_PARAMETERS angstrom
-1.867 2.063 6.455
1.867 -2.063 6.455
1.867 2.063 -6.455
ATOMIC_POSITIONS crystal
Ba 0.000 0.000 0.000
Sb 0.243 0.743 0.500
Rh 0.390 0.390 0.000
Rh 0.754 0.254 0.500
```

VASP energy   -5.33 eV per atom
Raw formation energy   -0.14 eV per atom

[19]
Below is an optimized crystal structure of BaSb2Rh, with properties calculated at the PBE-GGA level. Values from VASP.

Quantum ESPRESSO input file:
```
&SYSTEM
  ibrav = 0, nat = 4, ntyp = 3
/
ATOMIC_SPECIES
Ba 137.33 Ba.upf
Sb 121.76 Sb.upf
Rh 102.91 Rh.upf
CELL_PARAMETERS angstrom
3.047 -4.287 0.000
3.047 4.287 0.000
0.000 0.000 4.424
ATOMIC_POSITIONS crystal
Ba 0.000 0.000 0.000
Sb 0.323 0.677 0.500
Sb 0.677 0.323 0.500
Rh 0.500 0.500 0.000
```

VASP energy   -5.02 eV per atom
Raw formation energy   -0.64 eV per atom

[20]
Below is an optimized crystal structure of Ba3SbRh, with properties calculated at the PBE-GGA level. Values from VASP.

Quantum ESPRESSO input file:
```
&SYSTEM
  ibrav = 0, nat = 5, ntyp = 3
/
ATOMIC_SPECIES
Ba 137.33 Ba.upf
Sb 121.76 Sb.upf
Rh 102.91 Rh.upf
CELL_PARAMETERS angstrom
5.880 0.000 0.000
0.000 5.880 0.000
0.000 0.000 5.880
ATOMIC_POSITIONS crystal
Ba 0.000 0.000 0.500
Ba 0.000 0.500 0.000
Ba 0.500 0.000 0.000
Sb 0.500 0.500 0.500
Rh 0.000 0.000 0.000
```

VASP energy   -3.94 eV per atom
Raw formation energy   -0.50 eV per atom

[21]
Below is an optimized crystal structure of Ba4SbRh, with properties calculated at the PBE-GGA level. Values from VASP.

Quantum ESPRESSO input file:
```
&SYSTEM
  ibrav = 0, nat = 6, ntyp = 3
/
ATOMIC_SPECIES
Ba 137.33 Ba.upf
Sb 121.76 Sb.upf
Rh 102.91 Rh.upf
CELL_PARAMETERS angstrom
0.000 4.865 4.865
4.865 0.000 4.865
4.865 4.865 0.000
ATOMIC_POSITIONS crystal
Ba 0.125 0.125 0.125
Ba 0.125 0.125 0.625
Ba 0.125 0.625 0.125
Ba 0.625 0.125 0.125
Sb 0.500 0.500 0.500
Rh 0.750 0.750 0.750
```

VASP energy   -2.72 eV per atom
Raw formation energy   0.47 eV per atom

[22]
Below is an optimized crystal structure of BaSb3Rh, with properties calculated at the PBE-GGA level. Values from VASP.

Quantum ESPRESSO input file:
```
&SYSTEM
  ibrav = 0, nat = 10, ntyp = 3
/
ATOMIC_SPECIES
Ba 137.33 Ba.upf
Sb 121.76 Sb.upf
Rh 102.91 Rh.upf
CELL_PARAMETERS angstrom
7.131 0.000 0.000
-3.566 6.176 0.000
0.000 0.000 6.585
ATOMIC_POSITIONS crystal
Ba 0.333 0.667 0.250
Ba 0.667 0.333 0.750
Sb 0.174 0.349 0.750
Sb 0.174 0.826 0.750
Sb 0.349 0.174 0.250
Sb 0.651 0.826 0.750
Sb 0.826 0.174 0.250
Sb 0.826 0.651 0.250
Rh 0.000 0.000 0.000
Rh 0.000 0.000 0.500
```

VASP energy   -4.82 eV per atom
Raw formation energy   -0.49 eV per atom

[23]
Below is an optimized crystal structure of Ba4SbRh, with properties calculated at the PBE-GGA level. Values from VASP.

Quantum ESPRESSO input file:
```
&SYSTEM
  ibrav = 0, nat = 12, ntyp = 3
/
ATOMIC_SPECIES
Ba 137.33 Ba.upf
Sb 121.76 Sb.upf
Rh 102.91 Rh.upf
CELL_PARAMETERS angstrom
5.254 -7.559 0.000
5.254 7.559 0.000
-4.166 0.000 6.405
ATOMIC_POSITIONS crystal
Ba 0.056 0.713 0.917
Ba 0.223 0.342 0.708
Ba 0.287 0.944 0.583
Ba 0.342 0.223 0.208
Ba 0.658 0.777 0.792
Ba 0.713 0.056 0.417
Ba 0.777 0.658 0.292
Ba 0.944 0.287 0.083
Sb 0.367 0.633 0.250
Sb 0.633 0.367 0.750
Rh 0.003 0.997 0.250
Rh 0.997 0.003 0.750
```

VASP energy   -3.67 eV per atom
Raw formation energy   -0.48 eV per atom

[24]
Below is an optimized crystal structure of BaSb2Rh, with properties calculated at the PBE-GGA level. Values from VASP.

Quantum ESPRESSO input file:
```
&SYSTEM
  ibrav = 0, nat = 4, ntyp = 3
/
ATOMIC_SPECIES
Ba 137.33 Ba.upf
Sb 121.76 Sb.upf
Rh 102.91 Rh.upf
CELL_PARAMETERS angstrom
3.416 0.000 0.000
0.000 3.416 0.000
0.000 0.000 9.635
ATOMIC_POSITIONS crystal
Ba 0.000 0.000 0.000
Sb 0.000 0.000 0.382
Sb 0.500 0.500 0.713
Rh 0.500 0.500 0.252
```

VASP energy   -4.59 eV per atom
Raw formation energy   -0.21 eV per atom

[25]
Below is an optimized crystal structure of BaSb2Rh, with properties calculated at the PBE-GGA level. Values from VASP.

Quantum ESPRESSO input file:
```
&SYSTEM
  ibrav = 0, nat = 4, ntyp = 3
/
ATOMIC_SPECIES
Ba 137.33 Ba.upf
Sb 121.76 Sb.upf
Rh 102.91 Rh.upf
CELL_PARAMETERS angstrom
3.492 0.000 0.000
0.000 3.492 0.000
0.000 0.000 8.298
ATOMIC_POSITIONS crystal
Ba 0.000 0.000 0.000
Sb 0.500 0.500 0.315
Sb 0.500 0.500 0.685
Rh 0.000 0.000 0.500
```

VASP energy   -4.72 eV per atom
Raw formation energy   -0.34 eV per atom

[26]
Below is an optimized crystal structure of BaSbRh2, with properties calculated at the PBE-GGA level. Values from VASP.

Quantum ESPRESSO input file:
```
&SYSTEM
  ibrav = 0, nat = 4, ntyp = 3
/
ATOMIC_SPECIES
Ba 137.33 Ba.upf
Sb 121.76 Sb.upf
Rh 102.91 Rh.upf
CELL_PARAMETERS angstrom
-2.075 2.075 5.133
2.075 -2.075 5.133
2.075 2.075 -5.133
ATOMIC_POSITIONS crystal
Ba 0.000 0.000 0.000
Sb 0.750 0.250 0.500
Rh 0.250 0.750 0.500
Rh 0.500 0.500 0.000
```

VASP energy   -5.10 eV per atom
Raw formation energy   0.08 eV per atom